Entry 1:
Below is a relaxed CoPCl2 crystal, with properties calculated at the PBE level.

The space group is Cmm2 (No. 35) and the conventional cell measures 3.2391, 6.4829 and 8.6081 Å, with angles of 90.00, 90.00 and 90.00 degrees. The asymmetric unit holds Co at (0.0000, 0.0000, 0.0000), P at (0.0000, 0.5000, 0.1541), Cl at (0.0000, 0.0000, 0.3845) and Cl at (0.0000, 0.5000, 0.8132).

Its crystal system is orthorhombic.



Entry 2:
Below is a relaxed CoP2Cl crystal, with properties calculated at the PBE level.

The space group is Cmmm (No. 65) and the conventional cell measures 4.4625, 8.7691 and 3.0790 Å, with angles of 90.00, 90.00 and 90.00 degrees. The asymmetric unit holds Co at (0.0000, 0.0000, 0.0000), P at (0.0000, 0.1898, 0.5000) and Cl at (0.0000, 0.5000, 0.0000).

Its crystal system is orthorhombic.



Entry 3:
Below is a relaxed CoPCl crystal, with properties calculated at the PBE level.

The space group is F-43m (No. 216) and the conventional cell measures 5.9368, 5.9368 and 5.9368 Å, with angles of 90.00, 90.00 and 90.00 degrees. The asymmetric unit holds Co at (0.0000, 0.0000, 0.0000), P at (0.2500, 0.2500, 0.7500) and Cl at (0.0000, 0.0000, 0.5000).

Its crystal system is cubic.



Entry 4:
Below is a relaxed CoP2Cl crystal, with properties calculated at the PBE level.

The space group is P4mm (No. 99) and the conventional cell measures 3.0432, 3.0432 and 7.0072 Å, with angles of 90.00, 90.00 and 90.00 degrees. The asymmetric unit holds Co at (0.0000, 0.0000, 0.0000), P at (0.0000, 0.0000, 0.3239), P at (0.5000, 0.5000, 0.1565) and Cl at (0.5000, 0.5000, 0.7612).

Its crystal system is tetragonal.



Entry 5:
Below is a relaxed CoPCl2 crystal, with properties calculated at the PBE level.

The space group is Cmmm (No. 65) and the conventional cell measures 5.8180, 6.4418 and 3.7866 Å, with angles of 90.00, 90.00 and 90.00 degrees. The asymmetric unit holds Co at (0.0000, 0.0000, 0.0000), P at (0.0000, 0.5000, 0.0000) and Cl at (0.0000, 0.2313, 0.5000).

Its crystal system is orthorhombic.



Entry 6:
Below is a relaxed CoP2Cl crystal, with properties calculated at the PBE level.

The space group is F-43m (No. 216) and the conventional cell measures 6.1395, 6.1395 and 6.1395 Å, with angles of 90.00, 90.00 and 90.00 degrees. The asymmetric unit holds Co at (0.0000, 0.0000, 0.0000), P at (0.0000, 0.0000, 0.5000), P at (0.2500, 0.2500, 0.2500) and Cl at (0.2500, 0.2500, 0.7500).

Its crystal system is cubic.



no.,total DFT energy (no corrections) (eV per cell)
1,-31.782
2,-40.203
3,-46.064
4,-19.091
5,-28.859
6,-67.746